# SbAsRh (GGA-PBE, optimized geometry)
data_SbAsRh
_cell_length_a 6.232
_cell_length_b 6.232
_cell_length_c 6.232
_cell_angle_alpha 90.00
_cell_angle_beta 90.00
_cell_angle_gamma 90.00
_symmetry_space_group_name_H-M 'P 1'
_symmetry_Int_Tables_number 1
loop_
_symmetry_equiv_pos_as_xyz
'x,y,z'
loop_
_atom_site_label
_atom_site_type_symbol
_atom_site_fract_x
_atom_site_fract_y
_atom_site_fract_z
_atom_site_occupancy
Sb1 Sb 0.126 0.374 0.626 1
Sb2 Sb 0.374 0.626 0.126 1
Sb3 Sb 0.626 0.126 0.374 1
Sb4 Sb 0.874 0.874 0.874 1
As1 As 0.122 0.122 0.122 1
As2 As 0.378 0.878 0.622 1
As3 As 0.622 0.378 0.878 1
As4 As 0.878 0.622 0.378 1
Rh1 Rh 0.017 0.983 0.483 1
Rh2 Rh 0.483 0.017 0.983 1
Rh3 Rh 0.517 0.517 0.517 1
Rh4 Rh 0.983 0.483 0.017 1
# - Density of states at the Fermi level: 0.6304 states/eV per atom
# - V: 20.2 A^3/atom
# - E_tot: -5.7354 eV per atom